(1)
The following is a PBE calculation of crystalline TlZnB at its relaxed geometry, from Alexandria.

POSCAR file:
```
TlZnB
1.0
3.0052 0.0000 0.0000
0.0000 3.0052 0.0000
0.0000 0.0000 11.8097
Tl Zn B
2 2 2
direct
0.2500 0.2500 0.1501
0.7500 0.7500 0.8499
0.2500 0.2500 0.6418
0.7500 0.7500 0.3582
0.2500 0.7500 0.5000
0.7500 0.2500 0.5000
```

- D(E_F): 2.1 states/eV per cell
- Symmetry: P4/nmm, No. 129
- Formation energy: 624 meV per atom

(2)
The following is a PBE calculation of crystalline Tm4Ti at its relaxed geometry, from Alexandria.

POSCAR file:
```
Tm4Ti
1.0
5.3340 0.0000 0.0000
0.0000 5.3340 0.0000
0.0000 0.0000 5.3340
Tm Ti
4 1
direct
0.0000 0.0000 0.0000
0.0000 0.5000 0.5000
0.5000 0.0000 0.5000
0.5000 0.5000 0.0000
0.5000 0.5000 0.5000
```

- D(E_F): 6.7 states/eV per cell
- Symmetry: Pm-3m, No. 221
- Formation energy: 498 meV per atom

(3)
The following is a PBE calculation of crystalline Ac4DyY3Bi8 at its relaxed geometry, from Alexandria.

POSCAR file:
```
Ac4DyY3Bi8
1.0
4.6864 2.7057 7.6328
-4.6864 2.7057 7.6328
0.0000 -5.4114 7.6328
Ac Dy Y Bi
4 1 3 8
direct
0.0000 0.0000 0.0000
0.0000 0.5000 0.5000
0.5000 0.0000 0.5000
0.5000 0.5000 0.0000
0.5000 0.5000 0.5000
0.0000 0.0000 0.5000
0.0000 0.5000 0.0000
0.5000 0.0000 0.0000
0.2425 0.2425 0.2425
0.2428 0.7423 0.7423
0.2577 0.2577 0.7572
0.2577 0.7572 0.2577
0.7423 0.2428 0.7423
0.7423 0.7423 0.2428
0.7572 0.2577 0.2577
0.7575 0.7575 0.7575
```

- D(E_F): 3.2 states/eV per cell
- Symmetry: R-3m, No. 166
- Formation energy: -930 meV per atom

(4)
The following is a PBE calculation of crystalline Ce4AgHg2 at its relaxed geometry, from Alexandria.

POSCAR file:
```
Ce4AgHg2
1.0
3.0290 -11.3437 0.0000
3.0290 11.3437 0.0000
0.0000 0.0000 3.0485
Ce Ag Hg
4 1 2
direct
0.1539 0.8461 0.0000
0.2662 0.7338 0.5000
0.7338 0.2662 0.5000
0.8461 0.1539 0.0000
0.5000 0.5000 0.5000
0.3942 0.6058 0.0000
0.6058 0.3942 0.0000
```

- D(E_F): 14.2 states/eV per cell
- Symmetry: Cmmm, No. 65
- Formation energy: 179 meV per atom

(5)
The following is a PBE calculation of crystalline KLiCo4 at its relaxed geometry, from Alexandria.

POSCAR file:
```
KLiCo4
1.0
0.0000 3.5585 3.5585
3.5585 0.0000 3.5585
3.5585 3.5585 0.0000
K Li Co
1 1 4
direct
0.0000 0.0000 0.0000
0.7500 0.7500 0.7500
0.3761 0.3761 0.3761
0.3761 0.3761 0.8718
0.3761 0.8718 0.3761
0.8718 0.3761 0.3761
```

- D(E_F): 5.9 states/eV per cell
- Symmetry: F-43m, No. 216
- Formation energy: 632 meV per atom

(6)
The following is a PBE calculation of crystalline HfTl2Se3 at its relaxed geometry, from Alexandria.

POSCAR file:
```
HfTl2Se3
1.0
6.8489 -4.7912 0.0000
6.8489 4.7912 0.0000
-3.5150 0.0000 6.2328
Hf Tl Se
2 4 6
direct
0.0750 0.9250 0.7500
0.9250 0.0750 0.2500
0.2310 0.4804 0.9736
0.4804 0.2310 0.4736
0.5196 0.7690 0.5264
0.7690 0.5196 0.0264
0.1085 0.1873 0.1121
0.1873 0.1085 0.6121
0.3378 0.6622 0.7500
0.6622 0.3378 0.2500
0.8127 0.8915 0.3879
0.8915 0.8127 0.8879
```

- Formation energy (no corrections): -5.10 eV/f.u.
- Symmetry: C2/c, No. 15

Number 1: calculated total energy -2.8150 eV/atom. Number 2: calculated total energy -4.6580 eV/atom. Number 3: calculated total energy -5.3970 eV/atom. Number 4: calculated total energy -3.7051 eV/atom. Number 5: calculated total energy -4.6073 eV/atom. Number 6: calculated total energy -5.0396 eV/atom.